A plane-wave DFT calculation with PBE was carried out for a geometry-optimized CuTeAu2 structure.

ΔE_f (raw): 122 meV per atom
Size of the total moment: 0.000 Bohr magnetons per cell
SG: Cmmm, No. 65

Cell lengths 5.606, 6.623, 4.407 Å; angles 90.00, 90.00, 90.00 degrees
Atoms (fractional coordinates):
1 Cu 0.000 0.000 0.000
2 Cu 0.500 0.500 0.000
3 Te 0.000 0.500 0.000
4 Te 0.500 0.000 0.000
5 Au 0.000 0.219 0.500
6 Au 0.000 0.781 0.500
7 Au 0.500 0.281 0.500
8 Au 0.500 0.719 0.500